Entry 1:
Below is a relaxed Hg2OsW crystal, with properties calculated at the PBE-GGA level.

## Properties
V = 18.0 Å³ per atom
size of the total moment = 0.001 μB per cell
DFT formation energy = 0.824 eV per atom
ΔE to the lowest computed polymorph = 0.418 eV per atom
calculated total energy = -21.489 eV/f.u.
theoretical density = 17.85 g/cm³

Structure (POSCAR):
```
Hg2OsW
1.0
9.3102 0.0000 0.0000
0.0000 2.9590 0.0000
-0.8091 0.0000 5.2356
Hg Os W
4 2 2
direct
0.0000 0.0000 0.0000
0.2410 0.0000 0.7583
0.5000 0.5000 0.0000
0.7410 0.5000 0.7583
0.4888 0.0000 0.4611
0.9888 0.5000 0.4611
0.2540 0.5000 0.2928
0.7540 0.0000 0.2928
```


Entry 2:
Below is a relaxed CsYSeN2 crystal, with properties calculated at the PBE-GGA level.

## Properties
V = 27.0 Å³ per atom
size of the total moment = 4.018 μB per cell
ΔE to the lowest computed polymorph = 0.000 eV per atom
calculated total energy = -26.495 eV/f.u.
formation energy from raw total energies = 0.191 eV/atom
theoretical density = 4.05 g/cm³

Structure (POSCAR):
```
CsYSeN2
1.0
4.8907 0.0000 0.0000
0.0000 4.8907 0.0000
0.0000 0.0000 5.6396
Cs Y Se N
1 1 1 2
direct
0.0000 0.0000 0.0000
0.5000 0.5000 0.5000
0.5000 0.5000 0.0000
0.0000 0.5000 0.5000
0.5000 0.0000 0.5000
```


Entry 3:
Below is a relaxed MnTlSbTe3 crystal, with properties calculated at the PBE-GGA level.

## Properties
V = 34.7 Å³ per atom
size of the total moment = 10.013 μB per cell
calculated total energy = -26.105 eV/f.u.
formation energy from raw total energies = -0.170 eV/atom
theoretical density = 6.10 g/cm³

Structure (POSCAR):
```
MnTlSbTe3
1.0
9.4349 0.0000 0.0000
0.0000 4.4775 0.0000
-2.4736 0.0000 9.8490
Mn Tl Sb Te
2 2 2 6
direct
0.0816 0.2500 0.1015
0.9184 0.7500 0.8985
0.1876 0.2500 0.7324
0.8124 0.7500 0.2676
0.3348 0.7500 0.3682
0.6652 0.2500 0.6318
0.1095 0.2500 0.3737
0.2171 0.7500 0.0256
0.4444 0.7500 0.6639
0.5556 0.2500 0.3361
0.7829 0.2500 0.9744
0.8905 0.7500 0.6263
```